1.
{"formula": "LiThBr5", "functional": "PBE", "state": "relaxed", "total_magnetization_mub_per_fu": 0.00, "e_form_raw_ev_per_atom": -1.64, "spacegroup": "C2/c, No. 15", "cell": [[5.596, -5.366, 0.000], [5.596, 5.366, 0.000], [-5.216, 0.000, 9.480]], "species": ["Li", "Li", "Th", "Th", "Br", "Br", "Br", "Br", "Br", "Br", "Br", "Br", "Br", "Br"], "fractional_positions": [[0.132, 0.868, 0.750], [0.868, 0.132, 0.250], [0.000, 0.500, 0.000], [0.500, 0.000, 0.500], [0.163, 0.589, 0.832], [0.167, 0.170, 0.460], [0.170, 0.167, 0.960], [0.334, 0.666, 0.250], [0.411, 0.837, 0.668], [0.589, 0.163, 0.332], [0.666, 0.334, 0.750], [0.830, 0.833, 0.040], [0.833, 0.830, 0.540], [0.837, 0.411, 0.168]]}

2.
{"formula": "Cs5TlBr6", "functional": "PBE", "state": "relaxed", "total_magnetization_mub_per_fu": 0.00, "e_form_raw_ev_per_atom": -1.63, "spacegroup": "C2/m, No. 12", "cell": [[4.463, -7.722, 0.000], [4.463, 7.722, 0.000], [-2.976, 0.000, 8.395]], "species": ["Cs", "Cs", "Cs", "Cs", "Cs", "Tl", "Br", "Br", "Br", "Br", "Br", "Br"], "fractional_positions": [[0.000, 0.000, 0.000], [0.167, 0.833, 0.500], [0.333, 0.667, 0.000], [0.667, 0.333, 0.000], [0.833, 0.167, 0.500], [0.500, 0.500, 0.500], [0.099, 0.419, 0.257], [0.262, 0.262, 0.741], [0.419, 0.099, 0.257], [0.581, 0.901, 0.743], [0.738, 0.738, 0.259], [0.901, 0.581, 0.743]]}